Density functional theory data (GGA-PBE) for crystalline Ta4TlCl at its relaxed geometry.

Uncorrected formation energy, eV/f.u.: 4.87

Structure (CIF):
```
data_Ta4TlCl
_cell_length_a 7.945
_cell_length_b 7.945
_cell_length_c 7.945
_cell_angle_alpha 90.00
_cell_angle_beta 90.00
_cell_angle_gamma 90.00
_symmetry_space_group_name_H-M 'F -4 3 m'
_symmetry_Int_Tables_number 216
_symmetry_space_group_name_Hall 'F -4 2 3'
loop_
_atom_site_label
_atom_site_type_symbol
_atom_site_fract_x
_atom_site_fract_y
_atom_site_fract_z
Ta1 Ta 0.124 0.124 0.124
Tl1 Tl 0.250 0.250 0.750
Cl1 Cl 0.000 0.000 0.500
```


Density functional theory data (GGA-PBE) for crystalline TaTl3Cl8 at its relaxed geometry.

Uncorrected formation energy, eV/f.u.: -14.09

Structure (CIF):
```
data_TaTl3Cl8
_cell_length_a 9.5084
_cell_length_b 9.5084
_cell_length_c 9.6183
_cell_angle_alpha 90.00
_cell_angle_beta 90.00
_cell_angle_gamma 120.00
_symmetry_space_group_name_H-M 'P 63 m c'
_symmetry_Int_Tables_number 186
_symmetry_space_group_name_Hall 'P 6c -2c'
loop_
_atom_site_label
_atom_site_type_symbol
_atom_site_fract_x
_atom_site_fract_y
_atom_site_fract_z
Ta1 Ta 0.3333 0.6667 0.0000
Tl1 Tl 0.1523 0.3046 0.4811
Cl1 Cl 0.0000 0.0000 0.1998
Cl2 Cl 0.0975 0.5487 0.1380
Cl3 Cl 0.2157 0.4315 0.8542
Cl4 Cl 0.3333 0.6667 0.4869
```


Density functional theory data (GGA-PBE) for crystalline TaTlCl6 at its relaxed geometry.

Polymorph energy (0 for the lowest one), eV per atom: 0.0454
Uncorrected formation energy, eV/f.u.: -10.07

Structure (CIF):
```
data_TaTlCl6
_cell_length_a 6.9193
_cell_length_b 6.9193
_cell_length_c 18.9468
_cell_angle_alpha 90.00
_cell_angle_beta 90.00
_cell_angle_gamma 120.00
_symmetry_space_group_name_H-M 'R -3 m'
_symmetry_Int_Tables_number 166
_symmetry_space_group_name_Hall '-R 3 2"'
loop_
_atom_site_label
_atom_site_type_symbol
_atom_site_fract_x
_atom_site_fract_y
_atom_site_fract_z
Ta1 Ta 0.0000 0.0000 0.0000
Tl1 Tl 0.0000 0.0000 0.5000
Cl1 Cl 0.0110 0.5055 0.5943
```


Density functional theory data (GGA-PBE) for crystalline Ta2TlCl at its relaxed geometry.

Polymorph energy (0 for the lowest one), eV per atom: 0.7783
Uncorrected formation energy, eV/f.u.: 3.04

Structure (CIF):
```
data_Ta2TlCl
_cell_length_a 4.050
_cell_length_b 4.050
_cell_length_c 21.009
_cell_angle_alpha 90.00
_cell_angle_beta 90.00
_cell_angle_gamma 90.00
_symmetry_space_group_name_H-M 'I -4 2 d'
_symmetry_Int_Tables_number 122
_symmetry_space_group_name_Hall 'I -4 2bw'
loop_
_atom_site_label
_atom_site_type_symbol
_atom_site_fract_x
_atom_site_fract_y
_atom_site_fract_z
Ta1 Ta 0.239 0.250 0.125
Tl1 Tl 0.000 0.000 0.000
Cl1 Cl 0.000 0.000 0.500
```


Density functional theory data (GGA-PBE) for crystalline Ta3TlCl at its relaxed geometry.

Polymorph energy (0 for the lowest one), eV per atom: 0.0000
Uncorrected formation energy, eV/f.u.: 4.86

Structure (CIF):
```
data_Ta3TlCl
_cell_length_a 4.587
_cell_length_b 4.587
_cell_length_c 4.587
_cell_angle_alpha 90.00
_cell_angle_beta 90.00
_cell_angle_gamma 90.00
_symmetry_space_group_name_H-M 'P m -3 m'
_symmetry_Int_Tables_number 221
_symmetry_space_group_name_Hall '-P 4 2 3'
loop_
_atom_site_label
_atom_site_type_symbol
_atom_site_fract_x
_atom_site_fract_y
_atom_site_fract_z
Ta1 Ta 0.000 0.000 0.500
Tl1 Tl 0.500 0.500 0.500
Cl1 Cl 0.000 0.000 0.000
```


Density functional theory data (GGA-PBE) for crystalline TaTl2Cl6 at its relaxed geometry.

Polymorph energy (0 for the lowest one), eV per atom: 0.0121
Uncorrected formation energy, eV/f.u.: -10.41

Structure (CIF):
```
data_TaTl2Cl6
_cell_length_a 6.947
_cell_length_b 6.947
_cell_length_c 13.168
_cell_angle_alpha 90.00
_cell_angle_beta 90.00
_cell_angle_gamma 90.00
_symmetry_space_group_name_H-M 'P 42/m n m'
_symmetry_Int_Tables_number 136
_symmetry_space_group_name_Hall '-P 4n 2n'
loop_
_atom_site_label
_atom_site_type_symbol
_atom_site_fract_x
_atom_site_fract_y
_atom_site_fract_z
Ta1 Ta 0.000 0.000 0.000
Tl1 Tl 0.000 0.000 0.334
Cl1 Cl 0.173 0.173 0.133
Cl2 Cl 0.244 0.756 0.000
```